No. 1
Compound: Pm2CdH
Source: Alexandria via LeMat-Bulk
Functional: PBE
Structure: optimized geometry

Raw total energy   -13.8 eV for the cell shown
Energy above the lowest structure with this stoichiometry   0.938 eV per formula unit

a b c (Å): 3.5557 3.5557 9.5749
angles (deg): 79.30 79.30 60.00
With the nearest neighbours (Å) after each atom.
Element x y z (fractional)
Pm (0.1161, 0.1161, 0.6517)  3 H 2.50
Pm (0.8839, 0.8839, 0.3483)  3 H 2.50
H (0.5000, 0.5000, 0.5000)  6 Pm 2.50
Cd (0.0000, 0.0000, 0.0000)  2 Pm 3.26, 6 Cd 3.56

---

No. 2
Compound: Pm2CdHPt6
Source: Alexandria via LeMat-Bulk
Functional: PBE
Structure: optimized geometry

Raw total energy   -56.3 eV for the cell shown

a b c (Å): 5.6921 7.3527 5.6635
angles (deg): 67.52 59.83 89.99
With the nearest neighbours (Å) after each atom.
Element x y z (fractional)
Pm (0.7716, 0.3307, 0.4568)  6 Pt 3.00-3.04
Pm (0.2284, 0.6693, 0.5432)  6 Pt 3.00-3.04
Pt (0.2212, 0.1865, 0.5575)  1 H 1.99
Pt (0.2183, 0.1703, 0.0697)  1 H 2.03
Pt (0.7816, 0.8297, 0.9303)  1 H 2.03
Pt (0.7788, 0.8135, 0.4425)  1 H 1.99
Pt (0.7117, 0.1701, 0.0698)  1 H 2.03
Pt (0.2883, 0.8299, 0.9302)  1 H 2.03
H (0.0000, 0.0000, 0.0000)  6 Pt 1.99-2.03
Cd (0.5000, 0.5000, 0.0000)  6 Pt 2.68-2.69

---

No. 3
Compound: PmCdH6Pt2
Source: Alexandria via LeMat-Bulk
Functional: PBE
Structure: optimized geometry

Raw total energy   -81.5 eV for the cell shown

a b c (Å): 5.5538 5.5538 8.4496
angles (deg): 101.07 101.07 104.88
With the nearest neighbours (Å) after each atom.
Element x y z (fractional)
Pt (0.5969, 0.8508, 0.3557)  3 H 1.66-1.68
Pt (0.1492, 0.4031, 0.1443)  3 H 1.66-1.68
Pt (0.8508, 0.5969, 0.8557)  3 H 1.66-1.68
Pt (0.4031, 0.1492, 0.6443)  3 H 1.66-1.68
H (0.7148, 0.1460, 0.4818)  1 Pt 1.66
H (0.2333, 0.2750, 0.5148)  1 Pt 1.68
H (0.1460, 0.7148, 0.9818)  1 Pt 1.66
H (0.7667, 0.7250, 0.4852)  1 Pt 1.68
H (0.7250, 0.7667, 0.9852)  1 Pt 1.68
H (0.2852, 0.8540, 0.5182)  1 Pt 1.66
H (0.4564, 0.8967, 0.1750)  1 Pt 1.67
H (0.8967, 0.4564, 0.6750)  1 Pt 1.67
H (0.2750, 0.2333, 0.0148)  1 Pt 1.68
H (0.8540, 0.2852, 0.0182)  1 Pt 1.66
H (0.5436, 0.1033, 0.8250)  1 Pt 1.67
H (0.1033, 0.5436, 0.3250)  1 Pt 1.67
Cd (0.3526, 0.6474, 0.7500)  6 H 2.38-2.47
Cd (0.6474, 0.3526, 0.2500)  6 H 2.38-2.47
Pm (0.9392, 0.0608, 0.7500)  6 H 2.46-2.56
Pm (0.0608, 0.9392, 0.2500)  6 H 2.46-2.56

---

No. 4
Compound: Pm2CdH12Rh3
Source: Alexandria via LeMat-Bulk
Functional: PBE
Structure: optimized geometry

Raw total energy   -76.6 eV for the cell shown

a b c (Å): 6.0417 6.0417 6.0417
angles (deg): 63.41 63.41 63.41
With the nearest neighbours (Å) after each atom.
Element x y z (fractional)
H (0.6796, 0.1402, 0.6796)  2 Rh 1.77
H (0.8712, 0.8712, 0.4096)  1 Rh 1.68
H (0.8598, 0.3204, 0.3204)  2 Rh 1.77
H (0.5904, 0.1288, 0.1288)  1 Rh 1.68
H (0.8712, 0.4096, 0.8712)  1 Rh 1.68
H (0.3204, 0.3204, 0.8598)  2 Rh 1.77
H (0.4096, 0.8712, 0.8712)  1 Rh 1.68
H (0.1288, 0.1288, 0.5904)  1 Rh 1.68
H (0.6796, 0.6796, 0.1402)  2 Rh 1.77
H (0.1402, 0.6796, 0.6796)  2 Rh 1.77
H (0.1288, 0.5904, 0.1288)  1 Rh 1.68
H (0.3204, 0.8598, 0.3204)  2 Rh 1.77
Pm (0.3853, 0.3853, 0.3853)  3 H 2.25
Pm (0.6147, 0.6147, 0.6147)  3 H 2.25
Cd (0.0000, 0.0000, 0.0000)  6 H 2.10
Rh (0.0000, 0.0000, 0.5000)  6 H 1.68-1.77
Rh (0.5000, 0.0000, 0.0000)  6 H 1.68-1.77
Rh (0.0000, 0.5000, 0.0000)  6 H 1.68-1.77